# KY2In

An optimized crystal structure of KY2In (PBE, the Alexandria database).

Geometry as CIF:
```
data_KY2In
_chemical_formula_sum 'K1 Y2 In1'
_cell_length_a 4.026
_cell_length_b 5.538
_cell_length_c 5.770
_cell_angle_alpha 90.00
_cell_angle_beta 90.00
_cell_angle_gamma 90.00
_symmetry_space_group_name_H-M 'P m m m'
_symmetry_Int_Tables_number 47
loop_
_symmetry_equiv_pos_as_xyz
'x,y,z'
'-x,-y,-z'
'-x,-y,z'
'x,y,-z'
'x,-y,-z'
'-x,y,z'
'-x,y,-z'
'x,-y,z'
loop_
_atom_site_label
_atom_site_type_symbol
_atom_site_fract_x
_atom_site_fract_y
_atom_site_fract_z
K1 K 0.000 0.000 0.000
Y1 Y 0.000 0.500 0.500
Y2 Y 0.500 0.500 0.000
In1 In 0.500 0.000 0.500
```

Summary:
energy of formation from the pure elements: 203 meV/atom
ρ: 4282 kg/m³

=====

# NaTl2Rh2

An optimized crystal structure of NaTl2Rh2 (PBE, the Alexandria database).

Geometry as CIF:
```
data_NaTl2Rh2
_chemical_formula_sum 'Na2 Tl4 Rh4'
_cell_length_a 4.099
_cell_length_b 4.099
_cell_length_c 13.162
_cell_angle_alpha 90.00
_cell_angle_beta 90.00
_cell_angle_gamma 90.00
_symmetry_space_group_name_H-M 'I 4/m m m'
_symmetry_Int_Tables_number 139
_symmetry_space_group_name_Hall '-I 4 2'
loop_
_atom_site_label
_atom_site_type_symbol
_atom_site_fract_x
_atom_site_fract_y
_atom_site_fract_z
Na1 Na 0.000 0.000 0.000
Tl1 Tl 0.000 0.000 0.387
Rh1 Rh 0.000 0.500 0.250
```

Summary:
energy of formation from the pure elements: 161 meV/atom
ρ: 9575 kg/m³